Record 1
LaIn2F: optimized geometry, GGA-PBE.

Results
formation energy from raw total energies	-0.60	eV per atom
E above lowest polymorph	573	meV per atom

```
4
Lattice="0.000 3.733 3.733 3.733 0.000 3.733 3.733 3.733 0.000" Properties=species:S:1:pos:R:3 pbc="T T T"
La 0.000 0.000 0.000
In 1.867 1.867 1.867
In 5.600 5.600 5.600
F 3.733 3.733 3.733
```

Record 2
LaIn2F: optimized geometry, GGA-PBE.

Results
formation energy from raw total energies	-1.17	eV per atom
E above lowest polymorph	0	meV per atom

```
8
Lattice="-4.882 4.882 2.363 4.882 -4.882 2.363 4.882 4.882 -2.363" Properties=species:S:1:pos:R:3 pbc="T T T"
La 0.000 0.000 0.000
La 0.000 4.882 1.181
In 2.441 3.225 -0.591
In 6.540 2.441 0.591
In 2.441 1.658 1.772
In -1.658 2.441 2.954
F 4.882 0.000 1.181
F 0.000 0.000 2.363
```

Record 3
La3InF: optimized geometry, GGA-PBE.

Results
formation energy from raw total energies	-1.20	eV per atom
E above lowest polymorph	0	meV per atom

```
5
Lattice="5.150 0.000 0.000 0.000 5.150 0.000 0.000 0.000 5.150" Properties=species:S:1:pos:R:3 pbc="T T T"
La 0.000 0.000 2.575
La 0.000 2.575 0.000
La 2.575 0.000 0.000
In 2.575 2.575 2.575
F 0.000 0.000 0.000
```

Record 4
LaInNF2: optimized geometry, GGA-PBE.

Results
formation energy from raw total energies	-1.51	eV per atom
E above lowest polymorph	278	meV per atom

```
5
Lattice="4.402 0.000 0.000 0.000 4.402 0.000 0.000 0.000 4.210" Properties=species:S:1:pos:R:3 pbc="T T T"
La 0.000 0.000 0.000
In 2.201 2.201 2.105
N 2.201 2.201 0.000
F 0.000 2.201 2.105
F 2.201 0.000 2.105
```